Material: LiBeRh2
Method: DFT, PBEsol
State: optimized geometry

Calculated values
final energy = -5.568 eV/atom
spin magnetization = 0.000 μB per formula unit

Cell lengths 2.6410, 2.6410, 25.2486 Å; angles 90.00, 90.00, 120.00 degrees
Space group R3m (No. 160, hexagonal axes)
Symmetry-distinct sites (fractional):
Li (0.0000, 0.0000, 0.0000) x3
Be (0.0000, 0.0000, 0.7583) x3
Rh (0.0000, 0.0000, 0.2495) x3
Rh (0.0000, 0.0000, 0.4939) x3